Li6CuRh | PBE | relaxed

As for the calculated volume: 116.3 Å³ per cell. The value obtained for the density of states at the Fermi level is 0.474 states/eV/atom. For the relative energy among the computed polymorphs, the calculation gives 11 meV/atom. As for the spin magnetization: 0.00 μB per cell.

Cell lengths 6.8743, 6.8457, 4.8939 Å; angles 45.47, 45.08, 60.35 degrees
Fractional coordinates of all 8 atoms:
Li1 0.5001 0.7542 0.7454
Li2 0.7543 0.9999 0.7424
Cu1 0.5000 0.5000 0.5000
Li3 0.9990 0.4979 0.2574
Li4 0.2457 0.0001 0.2576
Rh1 0.0000 0.0000 0.0000
Li5 0.4999 0.2458 0.2546
Li6 0.0010 0.5021 0.7426



Li4CuRh | PBE | relaxed

As for the calculated volume: 76.4 Å³ per cell. The value obtained for the density of states at the Fermi level is 0.369 states/eV/atom. For the relative energy among the computed polymorphs, the calculation gives 186 meV/atom. As for the spin magnetization: 0.00 μB per cell.

Cell lengths 4.7625, 4.7625, 4.7625 Å; angles 60.00, 60.00, 60.00 degrees
Fractional coordinates of all 6 atoms:
Cu1 0.0000 0.0000 0.0000
Rh1 0.7500 0.7500 0.7500
Li1 0.3760 0.8721 0.3760
Li2 0.3760 0.3760 0.8721
Li3 0.3760 0.3760 0.3760
Li4 0.8721 0.3760 0.3760



Li2Cu5Rh2 | PBE | relaxed

As for the calculated volume: 236.6 Å³ per cell. The value obtained for the density of states at the Fermi level is 0.535 states/eV/atom. For the relative energy among the computed polymorphs, the calculation gives 13 meV/atom. As for the spin magnetization: 0.00 μB per cell.

Cell lengths 5.0437, 7.5320, 8.8454 Å; angles 130.56, 106.57, 90.00 degrees
Fractional coordinates of all 18 atoms:
Li1 0.0755 0.1560 0.1509
Cu1 0.7361 0.7657 0.9638
Cu2 0.8019 0.5465 0.6040
Cu3 0.2362 0.2657 0.9638
Rh1 0.5898 0.1788 0.1796
Cu4 0.4472 0.0718 0.3732
Li2 0.5755 0.6560 0.1509
Li3 0.8200 0.9317 0.6398
Cu5 0.2276 0.7657 0.9638
Rh2 0.3759 0.8481 0.7516
Cu6 0.3021 0.0465 0.6040
Cu7 0.4260 0.5718 0.3732
Cu8 0.7277 0.2657 0.9638
Rh3 0.8758 0.3481 0.7516
Rh4 0.0898 0.6788 0.1796
Cu9 0.9472 0.5717 0.3732
Cu10 0.9260 0.0717 0.3732
Li4 0.3198 0.4317 0.6398



LiCu3Rh | PBE | relaxed

As for the calculated volume: 250.7 Å³ per cell. The value obtained for the density of states at the Fermi level is 0.302 states/eV/atom. For the relative energy among the computed polymorphs, the calculation gives 0 meV/atom. As for the spin magnetization: 0.00 μB per cell.

Cell lengths 4.4728, 4.2987, 15.6435 Å; angles 123.55, 90.00, 90.00 degrees
Fractional coordinates of all 20 atoms:
Cu1 0.8357 0.7590 0.0044
Cu2 0.6643 0.2590 0.5044
Li1 0.8391 0.3557 0.8029
Cu3 0.6820 0.6560 0.7026
Rh1 0.6644 0.4530 0.1012
Cu4 0.1820 0.8440 0.7974
Cu5 0.8180 0.1560 0.2026
Li2 0.3391 0.1443 0.6971
Cu6 0.6759 0.0471 0.8988
Rh2 0.1644 0.0470 0.3988
Li3 0.6609 0.8557 0.3029
Rh3 0.3356 0.5470 0.8988
Cu7 0.3180 0.3440 0.2974
Cu8 0.3357 0.7410 0.4956
Cu9 0.8241 0.5471 0.3988
Cu10 0.3241 0.9529 0.1012
Li4 0.1609 0.6443 0.1971
Cu11 0.1759 0.4529 0.6012
Rh4 0.8356 0.9530 0.6012
Cu12 0.1643 0.2410 0.9956



Li7Cu4Rh | PBE | relaxed

As for the calculated volume: 176.1 Å³ per cell. The value obtained for the density of states at the Fermi level is 0.360 states/eV/atom. Its calculated total energy is -3.03 eV/atom. As for the spin magnetization: 0.00 μB per cell.

Cell lengths 4.5403, 8.8171, 5.9102 Å; angles 53.79, 67.41, 75.08 degrees
Fractional coordinates of all 12 atoms:
Li1 0.9124 0.3554 0.8198
Li2 0.0876 0.6446 0.1802
Cu1 0.5176 0.3246 0.6401
Li3 0.2498 0.8789 0.6215
Cu2 0.6927 0.5037 0.1108
Cu3 0.4824 0.6754 0.3599
Li4 0.8511 0.7315 0.5663
Li5 0.7502 0.1211 0.3785
Rh1 0.0000 0.0000 0.0000
Li6 0.5000 0.0000 0.0000
Cu4 0.3073 0.4963 0.8892
Li7 0.1489 0.2685 0.4337



Li8CuRh2 | PBE | relaxed

As for the calculated volume: 188.8 Å³ per cell. The value obtained for the density of states at the Fermi level is 0.351 states/eV/atom. Its calculated total energy is -3.06 eV/atom. As for the spin magnetization: 0.00 μB per cell.

Cell lengths 4.5253, 7.2819, 7.2819 Å; angles 76.25, 117.48, 117.48 degrees
Fractional coordinates of all 11 atoms:
Li1 0.3883 0.8736 0.3615
Cu1 0.0000 0.0000 0.0000
Li2 0.1422 0.4200 0.4200
Li3 0.3883 0.3615 0.8736
Li4 0.2266 0.8504 0.8504
Li5 0.6117 0.6385 0.1264
Li6 0.8578 0.5800 0.5800
Li7 0.6117 0.1264 0.6385
Li8 0.7734 0.1496 0.1496
Rh1 0.5552 0.7310 0.7310
Rh2 0.4448 0.2690 0.2690



LiCu3Rh | PBE | relaxed

As for the calculated volume: 101.9 Å³ per cell. The value obtained for the density of states at the Fermi level is 1.160 states/eV/atom. For the relative energy among the computed polymorphs, the calculation gives 765 meV/atom. As for the spin magnetization: 0.00 μB per cell.

Cell lengths 4.6709, 4.6709, 4.6709 Å; angles 90.00, 90.00, 90.00 degrees
Fractional coordinates of all 5 atoms:
Cu1 0.5000 0.0000 0.0000
Li1 0.5000 0.5000 0.5000
Rh1 0.0000 0.0000 0.0000
Cu2 0.0000 0.5000 0.0000
Cu3 0.0000 0.0000 0.5000



LiCu2Rh2 | PBE | relaxed

As for the calculated volume: 155.9 Å³ per cell. The value obtained for the density of states at the Fermi level is 1.199 states/eV/atom. For the relative energy among the computed polymorphs, the calculation gives 151 meV/atom. As for the spin magnetization: 0.00 μB per cell.

Cell lengths 2.6110, 7.1300, 8.6177 Å; angles 88.41, 81.29, 79.45 degrees
Fractional coordinates of all 10 atoms:
Cu1 0.3750 0.7500 0.2500
Cu2 0.3750 0.2500 0.7500
Rh1 0.9214 0.1571 0.5000
Cu3 0.3750 0.2500 0.2500
Rh2 0.1714 0.6571 0.0000
Li1 0.5000 0.0000 0.0000
Cu4 0.8750 0.7500 0.7500
Rh3 0.5786 0.8429 0.5000
Rh4 0.8286 0.3429 0.0000
Li2 0.2500 0.5000 0.5000



Li4Cu4Rh3 | PBE | relaxed

As for the calculated volume: 157.1 Å³ per cell. The value obtained for the density of states at the Fermi level is 0.659 states/eV/atom. Its calculated total energy is -4.18 eV/atom. As for the spin magnetization: 0.00 μB per cell.

Cell lengths 2.5945, 7.7372, 8.8252 Å; angles 116.00, 98.45, 90.00 degrees
Fractional coordinates of all 11 atoms:
Cu1 0.7331 0.2331 0.4662
Rh1 0.9048 0.9048 0.8096
Li1 0.3516 0.1655 0.7032
Li2 0.6484 0.8345 0.2968
Rh2 0.0000 0.5000 0.0000
Li3 0.3516 0.5377 0.7032
Cu2 0.2669 0.7669 0.5338
Rh3 0.0952 0.0952 0.1904
Li4 0.6484 0.4623 0.2968
Cu3 0.5000 0.2171 0.0000
Cu4 0.5000 0.7829 0.0000



Li6Cu5Rh | PBE | relaxed

As for the calculated volume: 154.1 Å³ per cell. The value obtained for the density of states at the Fermi level is 0.358 states/eV/atom. Its calculated total energy is -3.34 eV/atom. As for the spin magnetization: 0.00 μB per cell.

Cell lengths 4.4505, 6.8787, 6.8787 Å; angles 71.64, 121.08, 121.08 degrees
Fractional coordinates of all 12 atoms:
Rh1 0.0000 0.0000 0.0000
Cu1 0.5000 0.5000 0.5000
Li1 0.2551 0.0841 0.4149
Cu2 0.5000 0.8265 0.1735
Li2 0.7449 0.5851 0.9159
Li3 0.2568 0.7577 0.7577
Li4 0.7449 0.9159 0.5851
Cu3 0.5000 0.1735 0.8265
Li5 0.2551 0.4149 0.0841
Cu4 0.0000 0.3378 0.6622
Li6 0.7432 0.2423 0.2423
Cu5 0.0000 0.6622 0.3378



Li2Cu5Rh | PBE | relaxed

As for the calculated volume: 100.5 Å³ per cell. The value obtained for the density of states at the Fermi level is 0.248 states/eV/atom. Its calculated total energy is -4.02 eV/atom. As for the spin magnetization: 0.00 μB per cell.

Cell lengths 5.0754, 5.0754, 5.0756 Å; angles 108.21, 108.21, 112.02 degrees
Fractional coordinates of all 8 atoms:
Cu1 0.2780 0.7774 0.0000
Rh1 0.7779 0.7776 0.0000
Cu2 0.2782 0.2775 0.0000
Cu3 0.7775 0.7782 0.5000
Li1 0.2777 0.7783 0.5002
Cu4 0.7784 0.2777 0.0000
Li2 0.7776 0.2782 0.4999
Cu5 0.2775 0.2782 0.4999



LiCu2Rh | PBE | relaxed

As for the calculated volume: 106.3 Å³ per cell. The value obtained for the density of states at the Fermi level is 0.443 states/eV/atom. Its calculated total energy is -4.13 eV/atom. As for the spin magnetization: 0.00 μB per cell.

Cell lengths 3.4541, 3.4541, 9.2378 Å; angles 79.22, 79.22, 90.00 degrees
Fractional coordinates of all 8 atoms:
Rh1 0.0000 0.0000 0.0000
Rh2 0.7500 0.2500 0.5000
Cu1 0.1288 0.6250 0.2500
Cu2 0.3750 0.3788 0.7500
Li1 0.5000 0.5000 0.0000
Cu3 0.6212 0.1250 0.2500
Li2 0.2500 0.7500 0.5000
Cu4 0.8750 0.8712 0.7500



LiCu2Rh | PBE | relaxed

As for the calculated volume: 50.4 Å³ per cell. The value obtained for the density of states at the Fermi level is 0.445 states/eV/atom. Its calculated total energy is -4.41 eV/atom. As for the spin magnetization: 0.00 μB per cell.

Cell lengths 4.5341, 4.5341, 4.5341 Å; angles 132.02, 132.02, 70.20 degrees
Fractional coordinates of all 4 atoms:
Cu1 0.2500 0.7500 0.5000
Rh1 0.7500 0.2500 0.5000
Cu2 0.0000 0.0000 0.0000
Li1 0.5000 0.5000 0.0000



Li4Cu3Rh2 | PBE | relaxed

As for the calculated volume: 118.9 Å³ per cell. The value obtained for the density of states at the Fermi level is 0.561 states/eV/atom. Its calculated total energy is -3.93 eV/atom. As for the spin magnetization: 0.28 μB per cell.

Cell lengths 2.6630, 5.8210, 8.8615 Å; angles 62.91, 81.36, 76.78 degrees
Each line ends with the local moment (μB).
Fractional coordinates of all 9 atoms:
Cu1 0.3236 0.7891 0.5637  0.00
Rh1 0.3385 0.1067 0.2163  0.15
Rh2 0.6615 0.8933 0.7837  0.15
Cu2 0.0000 0.0000 0.0000  0.00
Li1 0.0088 0.3263 0.6562  0.00
Li2 0.9912 0.6737 0.3438  0.00
Li3 0.3328 0.4463 0.8882  0.00
Cu3 0.6764 0.2109 0.4363  0.00
Li4 0.6672 0.5537 0.1118  0.00



Li3Cu5Rh3 | PBE | relaxed

As for the calculated volume: 150.1 Å³ per cell. The value obtained for the density of states at the Fermi level is 0.529 states/eV/atom. Its calculated total energy is -4.06 eV/atom. As for the spin magnetization: 0.00 μB per cell.

Cell lengths 2.5311, 8.2738, 8.2738 Å; angles 120.00, 90.00, 90.00 degrees
Fractional coordinates of all 11 atoms:
Cu1 0.5000 0.6729 0.6729
Cu2 0.5000 0.3333 0.6667
Cu3 0.5000 0.0000 0.3271
Rh1 0.0000 0.5905 0.0000
Rh2 0.0000 0.0000 0.5905
Cu4 0.5000 0.6667 0.3333
Li1 0.5000 0.8348 0.0000
Cu5 0.5000 0.3271 0.0000
Rh3 0.0000 0.4095 0.4095
Li2 0.5000 0.1652 0.1652
Li3 0.5000 0.0000 0.8348



LiCu2Rh2 | PBE | relaxed

As for the calculated volume: 72.4 Å³ per cell. The value obtained for the density of states at the Fermi level is 1.245 states/eV/atom. For the relative energy among the computed polymorphs, the calculation gives 207 meV/atom. As for the spin magnetization: 0.01 μB per cell.

Cell lengths 3.3960, 3.3960, 6.7214 Å; angles 75.37, 75.37, 90.00 degrees
Fractional coordinates of all 5 atoms:
Cu1 0.7500 0.2500 0.5000
Rh1 0.5992 0.5992 0.8017
Li1 0.0000 0.0000 0.0000
Rh2 0.4008 0.4008 0.1983
Cu2 0.2500 0.7500 0.5000



LiScCu2Rh | PBE | relaxed

As for the calculated volume: 89.2 Å³ per cell. The value obtained for the density of states at the Fermi level is 0.992 states/eV/atom. Its calculated total energy is -3.49 eV/atom. As for the spin magnetization: 0.00 μB per cell.

Cell lengths 4.4837, 4.4356, 4.4837 Å; angles 90.00, 90.00, 90.00 degrees
Fractional coordinates of all 5 atoms:
Rh1 0.5000 0.5000 0.5000
Cu1 0.0000 0.0000 0.5000
Cu2 0.5000 0.0000 0.0000
Sc1 0.0000 0.0000 0.0000
Li1 0.0000 0.5000 0.0000



LiCu2RhSe | PBE | relaxed

As for the calculated volume: 70.7 Å³ per cell. The value obtained for the density of states at the Fermi level is 0.536 states/eV/atom. The formation energy from raw total energies is 598 meV/atom. As for the spin magnetization: 0.00 μB per cell.

Cell lengths 4.0805, 4.2487, 4.0805 Å; angles 90.00, 90.00, 90.00 degrees
Fractional coordinates of all 5 atoms:
Cu1 0.5000 0.0000 0.0000
Se1 0.5000 0.5000 0.5000
Cu2 0.0000 0.0000 0.5000
Rh1 0.0000 0.5000 0.0000
Li1 0.0000 0.0000 0.0000



LiSmCuRh | PBE | relaxed

As for the calculated volume: 73.1 Å³ per cell. The value obtained for the density of states at the Fermi level is 0.116 states/eV/atom. Its calculated total energy is -4.76 eV/atom. As for the spin magnetization: 0.00 μB per cell.

Cell lengths 4.6930, 4.6930, 4.6930 Å; angles 60.00, 60.00, 60.00 degrees
Fractional coordinates of all 4 atoms:
Li1 0.2500 0.2500 0.2500
Rh1 0.5000 0.5000 0.5000
Sm1 0.7500 0.7500 0.7500
Cu1 0.0000 0.0000 0.0000



Sr2Li3Cu12Rh | PBE | relaxed

As for the calculated volume: 300.6 Å³ per cell. The value obtained for the density of states at the Fermi level is 0.402 states/eV/atom. Its calculated total energy is -3.50 eV/atom. As for the spin magnetization: 0.00 μB per cell.

Cell lengths 9.9736, 9.9736, 9.9736 Å; angles 35.61, 35.61, 35.61 degrees
Fractional coordinates of all 18 atoms:
Cu1 0.3502 0.9365 0.9365
Cu2 0.9365 0.3502 0.9365
Cu3 0.0635 0.6498 0.0635
Cu4 0.4171 0.8108 0.4171
Li1 0.0000 0.0000 0.5000
Cu5 0.1892 0.5829 0.5829
Sr1 0.6499 0.6499 0.6499
Cu6 0.6498 0.0635 0.0635
Li2 0.5000 0.0000 0.0000
Cu7 0.9365 0.9365 0.3502
Cu8 0.5829 0.5829 0.1892
Sr2 0.3501 0.3501 0.3501
Li3 0.0000 0.5000 0.0000
Cu9 0.0635 0.0635 0.6498
Cu10 0.8108 0.4171 0.4171
Rh1 0.0000 0.0000 0.0000
Cu11 0.5829 0.1892 0.5829
Cu12 0.4171 0.4171 0.8108